[1]
A relaxed Al2H2Pd crystal, computed with PBE.

a b c (Å): 6.4310 6.4310 6.4310
angles (deg): 153.85 153.85 37.32
Positions (direct):
Al  0.1388  0.1388  0.0000
Al  0.8612  0.8612  0.0000
H  0.2500  0.7500  0.5000
H  0.7500  0.2500  0.5000
Pd  0.5000  0.5000  0.0000

Results
Fermi-level density of states, states/eV/f.u.: 1.5
Calculated density, Mg/m³: 5.227
Symmetry: I4/mmm (139)
Crystal system: tetragonal
Energy, eV/atom: -4.03


[2]
A relaxed Nd3Ho6Th crystal, computed with PBE.

a b c (Å): 13.0908 3.5344 14.3381
angles (deg): 90.00 100.28 90.00
Positions (direct):
Nd  0.0756  0.2500  0.1015
Nd  0.3726  0.7500  0.4957
Nd  0.4211  0.2500  0.9019
Nd  0.5789  0.7500  0.0981
Nd  0.6274  0.2500  0.5043
Nd  0.9244  0.7500  0.8985
Ho  0.1185  0.2500  0.4860
Ho  0.1902  0.7500  0.9201
Ho  0.2199  0.7500  0.2869
Ho  0.2695  0.7500  0.6978
Ho  0.3440  0.2500  0.1210
Ho  0.4983  0.7500  0.3085
Ho  0.5017  0.2500  0.6915
Ho  0.6560  0.7500  0.8790
Ho  0.7305  0.2500  0.3022
Ho  0.7801  0.2500  0.7131
Ho  0.8098  0.2500  0.0799
Ho  0.8815  0.7500  0.5140
Th  0.0419  0.2500  0.7209
Th  0.9581  0.7500  0.2791

Results
Energy above the lowest structure with this stoichiometry, eV per atom: 0.000
Fermi-level density of states, states/eV/f.u.: 13.9
Calculated density, Mg/m³: 8.417
Symmetry: P2_1/m (11)
Crystal system: monoclinic
Energy, eV/atom: -4.84
ΔE_f, eV per atom: 0.079